Record 1
Below is crystalline PmThOs at its relaxed geometry, with properties calculated at the GGA-PBE level.

Lattice parameters (Å, degrees): 4.9238 4.9238 4.9238 60.00 60.00 60.00
With the nearest neighbours (Å) after each atom.
Element x y z (fractional)
Os: 0.2500 0.2500 0.2500  4 Th 3.02, 4 Pm 3.02
Th: 0.0000 0.0000 0.0000  4 Os 3.02
Pm: 0.5000 0.5000 0.5000  4 Os 3.02

Calculated values
* volume: 28.14 Å³ per atom
* distance to the lowest polymorph of the same formula: 0.0649 eV/atom
* calculated formation energy: -0.14 eV/atom
* N(E_F): 2.3 states/eV/f.u.

Record 2
Below is crystalline BiPbO2 at its relaxed geometry, with properties calculated at the GGA-PBE level.

Lattice parameters (Å, degrees): 7.4888 7.4888 7.4888 27.34 27.34 27.34
With the nearest neighbours (Å) after each atom.
Element x y z (fractional)
Pb: 0.5000 0.5000 0.5000  6 O 2.43
Bi: 0.0000 0.0000 0.0000  2 O 2.29
O: 0.8941 0.8941 0.8941  1 Bi 2.29, 3 Pb 2.43
O: 0.1059 0.1059 0.1059  1 Bi 2.29, 3 Pb 2.43

Calculated values
* volume: 19.55 Å³ per atom
* distance to the lowest polymorph of the same formula: 0.1194 eV/atom
* formation energy from raw total energies: -790 meV/atom
* N(E_F): 1.8 states/eV/f.u.

Record 3
Below is crystalline TbEuLu at its relaxed geometry, with properties calculated at the GGA-PBE level.

Lattice parameters (Å, degrees): 3.6080 3.6080 8.8438 90.00 90.00 120.00
With the nearest neighbours (Å) after each atom.
Element x y z (fractional)
Eu: 0.0000 0.0000 0.9964  6 Eu 3.61, 3 Lu 3.66, 3 Tb 3.74
Lu: 0.3333 0.6667 0.6562  3 Tb 3.43, 6 Lu 3.61, 3 Eu 3.66
Tb: 0.6667 0.3333 0.3475  3 Lu 3.43, 6 Tb 3.61, 3 Eu 3.74

Calculated values
* volume: 33.23 Å³ per atom
* distance to the lowest polymorph of the same formula: 0.0000 eV/atom
* calculated formation energy: 0.07 eV/atom
* N(E_F): 3.7 states/eV/f.u.

Record 4
Below is crystalline Ac8HIr3Cl3 at its relaxed geometry, with properties calculated at the GGA-PBE level.

Lattice parameters (Å, degrees): 8.6909 8.6962 9.1586 118.35 89.98 119.99
With the nearest neighbours (Å) after each atom.
Element x y z (fractional)
Ac: 0.2639 0.5280 0.2922  3 Ir 2.97
Ac: 0.7361 0.4720 0.7078  3 Ir 2.97
Ac: 0.7589 0.5179 0.2891  2 Ir 2.96, 1 H 3.04
Ac: 0.2411 0.4821 0.7109  2 Ir 2.96, 1 H 3.04
Ac: 0.7588 0.0304 0.2890  2 Ir 2.96, 1 H 3.04
Ac: 0.2412 0.9696 0.7110  2 Ir 2.96, 1 H 3.04
Ac: 0.2717 0.0304 0.2892  2 Ir 2.96, 1 H 3.04
Ac: 0.7283 0.9696 0.7108  2 Ir 2.96, 1 H 3.04
H: 0.0000 0.0000 0.5000  6 Ac 3.04
Ir: 0.5000 0.0000 0.5000  6 Ac 2.96-2.97
Ir: 0.5000 0.5000 0.5000  6 Ac 2.96-2.97
Ir: 0.0000 0.5000 0.5000  6 Ac 2.96-2.97
Cl: 0.0000 0.0000 0.0000  6 Ac 3.36-3.37
Cl: 0.0000 0.5000 0.0000  6 Ac 3.36-3.37
Cl: 0.5000 0.5000 0.0000  6 Ac 3.36-3.37

Calculated values
* volume: 33.43 Å³ per atom
* final energy: -5.5757 eV/atom
* N(E_F): 5.4 states/eV/f.u.

What is the volume in the first record?
28.14 Å³ per atom

Which value of N(E_F) does entry 2 give?
1.8 states/eV/f.u.